1.
A plane-wave DFT calculation with PBE was carried out for a relaxed structure of NaNi3Br.

The structure belongs to space group Pm-3m (No. 221); the cell edges are 4.606, 4.606 and 4.606 Å and the angles 90.00°, 90.00° and 90.00°. Symmetry generates all atoms from Na at (0.000, 0.000, 0.000), Ni at (0.000, 0.000, 0.500) and Br at (0.500, 0.500, 0.500).

As for the electronic total energy: -12.27 eV for the cell shown. For the total magnetization, the calculation gives 2.0 μB/f.u. Its energy above the most stable polymorph in this dataset is 952 meV/atom. The calculation puts the uncorrected formation energy at 1.613 eV/atom. The calculation puts the density of states at the Fermi level at 2.6506 states/eV/atom. Its crystal system is cubic.

2.
A plane-wave DFT calculation with PBE was carried out for a relaxed structure of PmPaGaHg.

The structure belongs to space group F-43m (No. 216); the cell edges are 7.403, 7.403 and 7.403 Å and the angles 90.00°, 90.00° and 90.00°. Symmetry generates all atoms from Pm at (0.000, 0.000, 0.000), Pa at (0.000, 0.000, 0.500), Ga at (0.250, 0.250, 0.750) and Hg at (0.250, 0.250, 0.250).

As for the electronic total energy: -72.30 eV for the cell shown. For the total magnetization, the calculation gives 0.9 μB/f.u. For the formation energy, the calculation gives -12 kJ/mol of atoms. The calculation puts the density of states at the Fermi level at 1.9164 states/eV/atom. Its crystal system is cubic.